1.
Compound: TaGaCoAu
Source: OQMD via LeMat-Bulk
Functional: PBE
Structure: relaxed

Values from the calculation:
SG: F-43m
Distance to the lowest polymorph of the same formula: 23 meV per atom

Structure (POSCAR):
```
TaGaCoAu
1.0
3.456 2.210 1.682
-0.582 2.747 3.431
1.588 -1.077 3.997
Au Co Ga Ta
1 1 1 1
direct
0.250 0.250 0.250 Au
0.750 0.750 0.750 Co
0.000 0.000 0.000 Ga
0.500 0.500 0.500 Ta
```

2.
Compound: GaCoTcAu
Source: OQMD via LeMat-Bulk
Functional: PBE
Structure: relaxed

Values from the calculation:
SG: F-43m
Distance to the lowest polymorph of the same formula: 0 meV per atom

Structure (POSCAR):
```
GaCoTcAu
1.0
0.000 3.088 3.088
3.088 0.000 3.088
3.088 3.088 0.000
Au Co Ga Tc
1 1 1 1
direct
0.500 0.500 0.500 Au
0.750 0.750 0.750 Co
0.000 0.000 0.000 Ga
0.250 0.250 0.250 Tc
```

3.
Compound: GaCoWAu
Source: OQMD via LeMat-Bulk
Functional: PBE
Structure: relaxed

Values from the calculation:
SG: F-43m
Distance to the lowest polymorph of the same formula: 31 meV per atom

Structure (POSCAR):
```
GaCoWAu
1.0
-1.282 -1.914 3.741
-0.594 2.424 3.616
-4.056 0.688 1.542
Au Co Ga W
1 1 1 1
direct
0.250 0.250 0.250 Au
0.750 0.750 0.750 Co
0.000 0.000 0.000 Ga
0.500 0.500 0.500 W
```

4.
Compound: GaCoWAu
Source: OQMD via LeMat-Bulk
Functional: PBE
Structure: relaxed

Values from the calculation:
SG: F-43m
Distance to the lowest polymorph of the same formula: 0 meV per atom

Structure (POSCAR):
```
GaCoWAu
1.0
4.228 0.654 0.968
1.105 2.133 3.670
1.849 -2.176 3.329
Au Co Ga W
1 1 1 1
direct
0.500 0.500 0.500 Au
0.750 0.750 0.750 Co
0.000 0.000 0.000 Ga
0.250 0.250 0.250 W
```

5.
Compound: YGaCoAu
Source: OQMD via LeMat-Bulk
Functional: PBE
Structure: relaxed

Values from the calculation:
SG: F-43m
Distance to the lowest polymorph of the same formula: 70 meV per atom

Structure (POSCAR):
```
YGaCoAu
1.0
0.000 3.326 3.326
3.326 0.000 3.326
3.326 3.326 0.000
Au Co Ga Y
1 1 1 1
direct
0.500 0.500 0.500 Au
0.750 0.750 0.750 Co
0.000 0.000 0.000 Ga
0.250 0.250 0.250 Y
```

6.
Compound: YGaCoAu
Source: OQMD via LeMat-Bulk
Functional: PBE
Structure: relaxed

Values from the calculation:
SG: F-43m
Distance to the lowest polymorph of the same formula: 0 meV per atom

Structure (POSCAR):
```
YGaCoAu
1.0
3.937 -2.509 -0.232
-0.207 -4.669 -0.108
1.080 -2.297 -3.926
Au Co Ga Y
1 1 1 1
direct
0.250 0.250 0.250 Au
0.750 0.750 0.750 Co
0.000 0.000 0.000 Ga
0.500 0.500 0.500 Y
```

7.
Compound: ZnGaCoAu
Source: OQMD via LeMat-Bulk
Functional: PBE
Structure: relaxed

Values from the calculation:
SG: F-43m
Distance to the lowest polymorph of the same formula: 86 meV per atom

Structure (POSCAR):
```
ZnGaCoAu
1.0
0.000 3.071 3.071
3.071 0.000 3.071
3.071 3.071 0.000
Au Co Ga Zn
1 1 1 1
direct
0.500 0.500 0.500 Au
0.750 0.750 0.750 Co
0.000 0.000 0.000 Ga
0.250 0.250 0.250 Zn
```

8.
Compound: ZnGaCoAu
Source: OQMD via LeMat-Bulk
Functional: PBE
Structure: relaxed

Values from the calculation:
SG: F-43m
Distance to the lowest polymorph of the same formula: 0 meV per atom

Structure (POSCAR):
```
ZnGaCoAu
1.0
0.000 3.061 3.061
3.061 0.000 3.061
3.061 3.061 0.000
Au Co Ga Zn
1 1 1 1
direct
0.250 0.250 0.250 Au
0.750 0.750 0.750 Co
0.000 0.000 0.000 Ga
0.500 0.500 0.500 Zn
```

9.
Compound: ZrGaCoAu
Source: OQMD via LeMat-Bulk
Functional: PBE
Structure: relaxed

Values from the calculation:
SG: F-43m
Distance to the lowest polymorph of the same formula: 64 meV per atom

Structure (POSCAR):
```
ZrGaCoAu
1.0
0.000 3.209 3.209
3.209 0.000 3.209
3.209 3.209 0.000
Au Co Ga Zr
1 1 1 1
direct
0.500 0.500 0.500 Au
0.750 0.750 0.750 Co
0.000 0.000 0.000 Ga
0.250 0.250 0.250 Zr
```